No. 1
Rb2CdPb2: optimized geometry, GGA-PBE.

The structure in CIF format:
```
data_Rb2CdPb2
_space_group_name_H-M_alt 'I 4/m m m'
_space_group_IT_number 139
_space_group_name_Hall '-I 4 2'
_cell_length_a 5.135
_cell_length_b 5.135
_cell_length_c 16.203
_cell_angle_alpha 90.00
_cell_angle_beta 90.00
_cell_angle_gamma 90.00
loop_
_atom_site_label
_atom_site_type_symbol
_atom_site_fract_x
_atom_site_fract_y
_atom_site_fract_z
Rb1 Rb 0.000 0.500 0.250
Cd1 Cd 0.000 0.000 0.000
Pb1 Pb 0.000 0.000 0.413
```

Crystal system ... tetragonal
Calculated total energy ... -17.76 eV for the cell shown
Total magnetization ... 0.00 μB/f.u.
Energy relative to the lowest polymorph listed for this composition ... 355 meV/atom
Calculated formation energy ... 26.8 kJ/mol of atoms

No. 2
CsPtF: optimized geometry, GGA-PBE.

The structure in CIF format:
```
data_CsPtF
_space_group_name_H-M_alt 'P n m a'
_space_group_IT_number 62
_cell_length_a 9.680
_cell_length_b 4.137
_cell_length_c 8.579
_cell_angle_alpha 90.00
_cell_angle_beta 90.00
_cell_angle_gamma 90.00
loop_
_space_group_symop_operation_xyz
'x,y,z'
'-x,-y,-z'
'-x+1/2,-y,z+1/2'
'x+1/2,y,-z+1/2'
'x+1/2,-y+1/2,-z+1/2'
'-x+1/2,y+1/2,z+1/2'
'-x,y+1/2,-z'
'x,-y+1/2,z'
loop_
_atom_site_label
_atom_site_type_symbol
_atom_site_fract_x
_atom_site_fract_y
_atom_site_fract_z
Cs1 Cs 0.174 0.250 0.146
Pt1 Pt 0.017 0.250 0.573
F1 F 0.070 0.250 0.817
```

Energy relative to the elements, uncorrected ... -1.1667 eV/atom
Crystal system ... orthorhombic
Calculated total energy ... -49.06 eV for the cell shown
Total magnetization ... 0.00 μB/f.u.
Energy relative to the lowest polymorph listed for this composition ... 117 meV/atom

No. 3
Cs3ErBr6: optimized geometry, GGA-PBE.

The structure in CIF format:
```
data_Cs3ErBr6
_space_group_name_H-M_alt 'P 1 21/c 1'
_space_group_IT_number 14
_cell_length_a 8.448
_cell_length_b 8.911
_cell_length_c 14.653
_cell_angle_alpha 90.00
_cell_angle_beta 124.65
_cell_angle_gamma 90.00
loop_
_space_group_symop_operation_xyz
'x,y,z'
'-x,-y,-z'
'-x,y+1/2,-z+1/2'
'x,-y+1/2,z+1/2'
loop_
_atom_site_label
_atom_site_type_symbol
_atom_site_fract_x
_atom_site_fract_y
_atom_site_fract_z
Cs1 Cs 0.000 0.000 0.000
Cs2 Cs 0.222 0.068 0.747
Er1 Er 0.500 0.000 0.500
Br1 Br 0.185 0.172 0.452
Br2 Br 0.273 0.740 0.435
Br3 Br 0.394 0.043 0.283
```

Energy relative to the elements, uncorrected ... -1.8719 eV/atom
Crystal system ... monoclinic
Calculated total energy ... -71.76 eV for the cell shown
Total magnetization ... 0.00 μB/f.u.